Entry 1:
Computed, not measured: a relaxed ZrBi3Pd12 crystal at the PBE level of DFT.

The structure in CIF format:
```
data_ZrBi3Pd12
_chemical_formula_sum 'Zr1 Bi3 Pd12'
_symmetry_space_group_name_H-M 'P 4/m m m'
_symmetry_Int_Tables_number 123
_symmetry_space_group_name_Hall '-P 4 2'
_cell_length_a 4.107
_cell_length_b 4.107
_cell_length_c 16.521
_cell_angle_alpha 90.00
_cell_angle_beta 90.00
_cell_angle_gamma 90.00
loop_
_atom_site_label
_atom_site_fract_x
_atom_site_fract_y
_atom_site_fract_z
Zr1 0.000 0.000 0.000
Bi1 0.000 0.000 0.248
Bi2 0.000 0.000 0.500
Pd1 0.000 0.500 0.118
Pd2 0.000 0.500 0.373
Pd3 0.500 0.500 0.000
Pd4 0.500 0.500 0.246
Pd5 0.500 0.500 0.500
```

## Properties
Formation energy: -0.374 eV/atom

=====

Entry 2:
Computed, not measured: a relaxed Ba2ThMnSe6 crystal at the PBE level of DFT.

The structure in CIF format:
```
data_Ba2ThMnSe6
_chemical_formula_sum 'Ba4 Th2 Mn2 Se12'
_symmetry_space_group_name_H-M 'P 1 21/c 1'
_symmetry_Int_Tables_number 14
_symmetry_space_group_name_Hall '-P 2ybc'
_cell_length_a 7.384
_cell_length_b 7.516
_cell_length_c 12.788
_cell_angle_alpha 90.00
_cell_angle_beta 124.69
_cell_angle_gamma 90.00
loop_
_atom_site_label
_atom_site_fract_x
_atom_site_fract_y
_atom_site_fract_z
Ba1 0.232 0.059 0.248
Th1 0.500 0.000 0.000
Mn1 0.000 0.000 0.500
Se1 0.155 0.224 0.965
Se2 0.239 0.693 0.964
Se3 0.302 0.002 0.733
```

## Properties
ΔE_f (raw): -1.403 eV per atom

=====

Entry 3:
Computed, not measured: a relaxed TlHgPb2 crystal at the PBE level of DFT.

The structure in CIF format:
```
data_TlHgPb2
_chemical_formula_sum 'Tl4 Hg4 Pb8'
_symmetry_space_group_name_H-M 'I -4 2 d'
_symmetry_Int_Tables_number 122
_symmetry_space_group_name_Hall 'I -4 2bw'
_cell_length_a 4.639
_cell_length_b 4.639
_cell_length_c 23.315
_cell_angle_alpha 90.00
_cell_angle_beta 90.00
_cell_angle_gamma 90.00
loop_
_atom_site_label
_atom_site_fract_x
_atom_site_fract_y
_atom_site_fract_z
Tl1 0.000 0.000 0.000
Hg1 0.000 0.000 0.500
Pb1 0.246 0.250 0.625
```

## Properties
Formation energy: 0.091 eV/atom

=====

Entry 4:
Computed, not measured: a relaxed TiZn5Au4 crystal at the PBE level of DFT.

The structure in CIF format:
```
data_TiZn5Au4
_chemical_formula_sum 'Ti1 Zn5 Au4'
_symmetry_space_group_name_H-M 'P 4/m m m'
_symmetry_Int_Tables_number 123
_symmetry_space_group_name_Hall '-P 4 2'
_cell_length_a 3.134
_cell_length_b 3.134
_cell_length_c 16.428
_cell_angle_alpha 90.00
_cell_angle_beta 90.00
_cell_angle_gamma 90.00
loop_
_atom_site_label
_atom_site_fract_x
_atom_site_fract_y
_atom_site_fract_z
Ti1 0.000 0.000 0.000
Zn1 0.500 0.500 0.102
Zn2 0.500 0.500 0.300
Zn3 0.500 0.500 0.500
Au1 0.000 0.000 0.199
Au2 0.000 0.000 0.399
```

## Properties
Formation energy: -0.193 eV/atom

=====

Entry 5:
Computed, not measured: a relaxed Tb2CeNi crystal at the PBE level of DFT.

The structure in CIF format:
```
data_Tb2CeNi
_chemical_formula_sum 'Tb8 Ce4 Ni4'
_symmetry_space_group_name_H-M 'P n m a'
_symmetry_Int_Tables_number 62
_symmetry_space_group_name_Hall '-P 2ac 2n'
_cell_length_a 6.816
_cell_length_b 9.620
_cell_length_c 6.395
_cell_angle_alpha 90.00
_cell_angle_beta 90.00
_cell_angle_gamma 90.00
loop_
_atom_site_label
_atom_site_fract_x
_atom_site_fract_y
_atom_site_fract_z
Tb1 0.177 0.066 0.171
Ce1 0.038 0.250 0.650
Ni1 0.124 0.750 0.956
```

## Properties
Formation energy: -0.179 eV/atom
Energy relative to the lowest polymorph listed for this composition: 0.000 eV per formula unit

=====

Entry 6:
Computed, not measured: a relaxed Rb3GaBi crystal at the PBE level of DFT.

The structure in CIF format:
```
data_Rb3GaBi
_chemical_formula_sum 'Rb6 Ga2 Bi2'
_symmetry_space_group_name_H-M 'P 1 21/m 1'
_symmetry_Int_Tables_number 11
_symmetry_space_group_name_Hall '-P 2yb'
_cell_length_a 6.032
_cell_length_b 9.962
_cell_length_c 8.052
_cell_angle_alpha 90.00
_cell_angle_beta 90.03
_cell_angle_gamma 90.00
loop_
_atom_site_label
_atom_site_fract_x
_atom_site_fract_y
_atom_site_fract_z
Rb1 0.249 0.250 0.265
Rb2 0.250 0.036 0.744
Ga1 0.250 0.750 0.079
Bi1 0.250 0.750 0.416
```

## Properties
Formation energy: -0.178 eV/atom
Energy relative to the lowest polymorph listed for this composition: 0.000 eV per formula unit